Crystalline CaBeMo2 at its relaxed geometry, computed with GGA-PBE.

The space group is P4mm (No. 99) and the conventional cell measures 2.738, 2.738 and 8.847 Å, with angles of 90.00, 90.00 and 90.00 degrees. The distinct sites, in fractional coordinates, are Ca at (0.000, 0.000, 0.000), Be at (0.500, 0.500, 0.744), Mo at (0.000, 0.000, 0.559) and Mo at (0.500, 0.500, 0.302).

The calculation puts the formation enthalpy at 0 K at 54 kJ per mole of atoms.